# 1
The following is a DFT calculation (meta-GGA SCAN) of BeTl2Zn at its PBEsol-relaxed geometry.

Values from the calculation:
ΔE_f	0.392	eV/atom
N(E_F)	0.29	states/eV/atom
SG	R3m
E	-40.25	eV/atom

Cell: 8.5656 8.5656 8.5656 Å, 22.47 22.47 22.47°
Fractional coordinates of all 4 atoms:
Be 0.0000 0.0000 0.0000
Tl 0.5199 0.5199 0.5199
Tl 0.7432 0.7432 0.7432
Zn 0.2781 0.2781 0.2781


# 2
The following is a DFT calculation (meta-GGA SCAN) of BeTlZn2 at its PBEsol-relaxed geometry.

Values from the calculation:
ΔE_f	0.290	eV/atom
N(E_F)	0.31	states/eV/atom
SG	P4/mmm
E	-25.65	eV/atom

Cell: 2.8913 2.8913 7.8666 Å, 90.00 90.00 90.00°
Fractional coordinates of all 4 atoms:
Be 0.0000 0.0000 0.0000
Tl 0.0000 0.0000 0.5000
Zn 0.5000 0.5000 0.1770
Zn 0.5000 0.5000 0.8230